A plane-wave DFT calculation with PBE-GGA was carried out for a geometry-optimized TlHg2Bi structure.

Geometry as CIF:
```
data_TlHg2Bi
_cell_length_a 3.515
_cell_length_b 3.515
_cell_length_c 32.568
_cell_angle_alpha 90.00
_cell_angle_beta 90.00
_cell_angle_gamma 120.00
_space_group_name_H-M_alt 'P 1'
_space_group_IT_number 1
loop_
_space_group_symop_operation_xyz
'x,y,z'
loop_
_atom_site_label
_atom_site_fract_x
_atom_site_fract_y
_atom_site_fract_z
Tl1 0.000 0.000 0.000
Tl2 0.333 0.667 0.667
Tl3 0.667 0.333 0.333
Hg1 0.000 0.000 0.414
Hg2 0.000 0.000 0.583
Hg3 0.333 0.667 0.080
Hg4 0.333 0.667 0.249
Hg5 0.667 0.333 0.747
Hg6 0.667 0.333 0.916
Bi1 0.000 0.000 0.162
Bi2 0.333 0.667 0.829
Bi3 0.667 0.333 0.496
```

The value obtained for the total energy is -1.6688 eV per atom. Its size of the total moment is 0.00 μB/atom. For the formation energy, the calculation gives 0.044 eV per atom.

A plane-wave DFT calculation with PBE-GGA was carried out for a geometry-optimized TlHg5Bi structure.

Geometry as CIF:
```
data_TlHg5Bi
_cell_length_a 5.050
_cell_length_b 5.050
_cell_length_c 8.289
_cell_angle_alpha 90.00
_cell_angle_beta 90.00
_cell_angle_gamma 90.00
_space_group_name_H-M_alt 'P 1'
_space_group_IT_number 1
loop_
_space_group_symop_operation_xyz
'x,y,z'
loop_
_atom_site_label
_atom_site_fract_x
_atom_site_fract_y
_atom_site_fract_z
Tl1 0.000 0.000 0.000
Hg1 0.000 0.500 0.268
Hg2 0.000 0.500 0.732
Hg3 0.500 0.000 0.268
Hg4 0.500 0.000 0.732
Hg5 0.500 0.500 0.000
Bi1 0.000 0.000 0.500
```

The value obtained for the total energy is -1.0608 eV per atom. Its size of the total moment is 0.00 μB/atom. For the formation energy, the calculation gives 0.047 eV per atom. As for the distance to the lowest polymorph of the same formula: 17.4 meV/atom.

A plane-wave DFT calculation with PBE-GGA was carried out for a geometry-optimized Tl7Hg2Bi structure.

Geometry as CIF:
```
data_Tl7Hg2Bi
_cell_length_a 9.150
_cell_length_b 9.150
_cell_length_c 12.097
_cell_angle_alpha 126.43
_cell_angle_beta 126.43
_cell_angle_gamma 55.20
_space_group_name_H-M_alt 'P 1'
_space_group_IT_number 1
loop_
_space_group_symop_operation_xyz
'x,y,z'
loop_
_atom_site_label
_atom_site_fract_x
_atom_site_fract_y
_atom_site_fract_z
Tl1 0.039 0.961 0.750
Tl2 0.126 0.370 0.892
Tl3 0.173 0.470 0.663
Tl4 0.258 0.594 0.457
Tl5 0.370 0.126 0.392
Tl6 0.406 0.742 0.043
Tl7 0.470 0.173 0.163
Tl8 0.530 0.827 0.837
Tl9 0.594 0.258 0.957
Tl10 0.630 0.874 0.608
Tl11 0.742 0.406 0.543
Tl12 0.827 0.530 0.337
Tl13 0.874 0.630 0.108
Tl14 0.961 0.039 0.250
Hg1 0.047 0.203 0.088
Hg2 0.203 0.047 0.588
Hg3 0.797 0.953 0.412
Hg4 0.953 0.797 0.912
Bi1 0.356 0.644 0.250
Bi2 0.644 0.356 0.750
```

The value obtained for the total energy is -2.1116 eV per atom. Its size of the total moment is 0.00 μB/atom. For the formation energy, the calculation gives -0.007 eV per atom. As for the distance to the lowest polymorph of the same formula: 0.0 meV/atom.

A plane-wave DFT calculation with PBE-GGA was carried out for a geometry-optimized TlHgBi structure.

Geometry as CIF:
```
data_TlHgBi
_cell_length_a 4.066
_cell_length_b 4.089
_cell_length_c 11.238
_cell_angle_alpha 90.88
_cell_angle_beta 90.26
_cell_angle_gamma 90.63
_space_group_name_H-M_alt 'P 1'
_space_group_IT_number 1
loop_
_space_group_symop_operation_xyz
'x,y,z'
loop_
_atom_site_label
_atom_site_fract_x
_atom_site_fract_y
_atom_site_fract_z
Tl1 0.246 0.239 0.245
Tl2 0.754 0.761 0.755
Hg1 0.252 0.255 0.925
Hg2 0.748 0.745 0.075
Bi1 0.251 0.253 0.572
Bi2 0.749 0.747 0.428
```

The value obtained for the total energy is -2.1966 eV per atom. Its size of the total moment is 0.00 μB/atom. For the formation energy, the calculation gives -0.014 eV per atom.

A plane-wave DFT calculation with PBE-GGA was carried out for a geometry-optimized TlHg8Bi2 structure.

Geometry as CIF:
```
data_TlHg8Bi2
_cell_length_a 11.486
_cell_length_b 11.486
_cell_length_c 6.310
_cell_angle_alpha 99.03
_cell_angle_beta 99.03
_cell_angle_gamma 23.31
_space_group_name_H-M_alt 'P 1'
_space_group_IT_number 1
loop_
_space_group_symop_operation_xyz
'x,y,z'
loop_
_atom_site_label
_atom_site_fract_x
_atom_site_fract_y
_atom_site_fract_z
Tl1 0.000 0.000 0.000
Hg1 0.095 0.095 0.462
Hg2 0.190 0.190 0.950
Hg3 0.375 0.375 0.852
Hg4 0.453 0.453 0.295
Hg5 0.547 0.547 0.705
Hg6 0.625 0.625 0.148
Hg7 0.810 0.810 0.050
Hg8 0.905 0.905 0.538
Bi1 0.286 0.286 0.409
Bi2 0.714 0.714 0.591
```

The value obtained for the total energy is -1.1094 eV per atom. Its size of the total moment is 0.00 μB/atom. For the formation energy, the calculation gives 0.031 eV per atom.

A plane-wave DFT calculation with PBE-GGA was carried out for a geometry-optimized Tl5Hg4Bi structure.

Geometry as CIF:
```
data_Tl5Hg4Bi
_cell_length_a 3.552
_cell_length_b 3.552
_cell_length_c 23.523
_cell_angle_alpha 90.00
_cell_angle_beta 90.00
_cell_angle_gamma 90.00
_space_group_name_H-M_alt 'P 1'
_space_group_IT_number 1
loop_
_space_group_symop_operation_xyz
'x,y,z'
loop_
_atom_site_label
_atom_site_fract_x
_atom_site_fract_y
_atom_site_fract_z
Tl1 0.000 0.000 0.000
Tl2 0.000 0.000 0.191
Tl3 0.000 0.000 0.394
Tl4 0.000 0.000 0.606
Tl5 0.000 0.000 0.809
Hg1 0.500 0.500 0.095
Hg2 0.500 0.500 0.289
Hg3 0.500 0.500 0.711
Hg4 0.500 0.500 0.905
Bi1 0.500 0.500 0.500
```

The value obtained for the total energy is -1.7172 eV per atom. Its size of the total moment is 0.00 μB/atom. For the formation energy, the calculation gives -0.025 eV per atom.

A plane-wave DFT calculation with PBE-GGA was carried out for a geometry-optimized Tl2Hg2Bi structure.

Geometry as CIF:
```
data_Tl2Hg2Bi
_cell_length_a 5.392
_cell_length_b 5.503
_cell_length_c 6.407
_cell_angle_alpha 67.30
_cell_angle_beta 65.34
_cell_angle_gamma 60.67
_space_group_name_H-M_alt 'P 1'
_space_group_IT_number 1
loop_
_space_group_symop_operation_xyz
'x,y,z'
loop_
_atom_site_label
_atom_site_fract_x
_atom_site_fract_y
_atom_site_fract_z
Tl1 0.213 0.213 0.360
Tl2 0.787 0.787 0.640
Hg1 0.408 0.404 0.780
Hg2 0.592 0.596 0.220
Bi1 0.000 0.000 0.000
```

The value obtained for the total energy is -1.8355 eV per atom. Its size of the total moment is 0.00 μB/atom. For the formation energy, the calculation gives 0.008 eV per atom. As for the distance to the lowest polymorph of the same formula: 6.7 meV/atom.

A plane-wave DFT calculation with PBE-GGA was carried out for a geometry-optimized Tl3Hg2Bi3 structure.

Geometry as CIF:
```
data_Tl3Hg2Bi3
_cell_length_a 9.064
_cell_length_b 9.064
_cell_length_c 3.522
_cell_angle_alpha 90.00
_cell_angle_beta 90.00
_cell_angle_gamma 120.00
_space_group_name_H-M_alt 'P 1'
_space_group_IT_number 1
loop_
_space_group_symop_operation_xyz
'x,y,z'
loop_
_atom_site_label
_atom_site_fract_x
_atom_site_fract_y
_atom_site_fract_z
Tl1 0.000 0.403 0.000
Tl2 0.403 0.000 0.000
Tl3 0.597 0.597 0.000
Hg1 0.333 0.667 0.500
Hg2 0.667 0.333 0.500
Bi1 0.000 0.793 0.500
Bi2 0.207 0.207 0.500
Bi3 0.793 0.000 0.500
```

The value obtained for the total energy is -2.3997 eV per atom. Its size of the total moment is 0.00 μB/atom. For the formation energy, the calculation gives 0.018 eV per atom.

A plane-wave DFT calculation with PBE-GGA was carried out for a geometry-optimized Tl2Hg2Bi structure.

Geometry as CIF:
```
data_Tl2Hg2Bi
_cell_length_a 4.094
_cell_length_b 4.094
_cell_length_c 19.774
_cell_angle_alpha 90.00
_cell_angle_beta 90.00
_cell_angle_gamma 90.00
_space_group_name_H-M_alt 'P 1'
_space_group_IT_number 1
loop_
_space_group_symop_operation_xyz
'x,y,z'
loop_
_atom_site_label
_atom_site_fract_x
_atom_site_fract_y
_atom_site_fract_z
Tl1 0.000 0.000 0.095
Tl2 0.000 0.000 0.905
Tl3 0.500 0.500 0.405
Tl4 0.500 0.500 0.595
Hg1 0.000 0.500 0.250
Hg2 0.000 0.500 0.750
Hg3 0.500 0.000 0.250
Hg4 0.500 0.000 0.750
Bi1 0.000 0.000 0.500
Bi2 0.500 0.500 0.000
```

The value obtained for the total energy is -1.7859 eV per atom. Its size of the total moment is 0.00 μB/atom. For the formation energy, the calculation gives 0.057 eV per atom. As for the distance to the lowest polymorph of the same formula: 56.2 meV/atom.

A plane-wave DFT calculation with PBE-GGA was carried out for a geometry-optimized Tl3HgBi structure.

Geometry as CIF:
```
data_Tl3HgBi
_cell_length_a 7.569
_cell_length_b 7.569
_cell_length_c 6.433
_cell_angle_alpha 104.64
_cell_angle_beta 104.64
_cell_angle_gamma 85.33
_space_group_name_H-M_alt 'P 1'
_space_group_IT_number 1
loop_
_space_group_symop_operation_xyz
'x,y,z'
loop_
_atom_site_label
_atom_site_fract_x
_atom_site_fract_y
_atom_site_fract_z
Tl1 0.086 0.086 0.320
Tl2 0.118 0.558 0.329
Tl3 0.442 0.882 0.671
Tl4 0.558 0.118 0.329
Tl5 0.882 0.442 0.671
Tl6 0.914 0.914 0.680
Hg1 0.448 0.448 0.728
Hg2 0.552 0.552 0.272
Bi1 0.230 0.230 0.938
Bi2 0.770 0.770 0.062
```

The value obtained for the total energy is -2.2048 eV per atom. Its size of the total moment is 0.00 μB/atom. For the formation energy, the calculation gives 0.052 eV per atom. As for the distance to the lowest polymorph of the same formula: 57.6 meV/atom.